Computed, not measured: a relaxed DyTh3Se4 crystal at the PBE level of DFT.

```
DyTh3Se4
1.0
7.1199 -0.0224 0.0000
-2.5170 6.7705 0.0000
0.0000 0.0000 8.5402
Th Se Dy
6 8 2
Direct
0.2500 0.0000 0.6244
0.2500 0.5000 0.3776
0.7500 0.0000 0.3756
0.2500 0.5000 0.8743
0.7500 0.5000 0.6224
0.7500 0.5000 0.1257
0.9989 0.7589 0.8794
0.5011 0.2411 0.8794
0.4989 0.7589 0.1206
0.0011 0.2411 0.1206
0.4934 0.2432 0.3683
0.9934 0.2432 0.6317
0.0066 0.7568 0.3683
0.5066 0.7568 0.6317
0.2500 0.0000 0.1227
0.7500 0.0000 0.8773
```

* VASP energy: -6.686 eV/atom
* size of the total moment: 0.0 μB per formula unit